#i
Computed, not measured: SmZn4Au8 after structural relaxation at the GGA-PBE level of DFT.

```
SmZn4Au8
1.0
-3.5266 -3.4385 -2.2374
1.8672 -6.8047 0.9744
-5.1969 -1.8563 4.5041
Sm Zn Au
1 4 8
Cartesian
0.0000 0.0000 0.0000 Sm
-4.3617 -2.6474 1.1334 Zn
-2.5984 -0.9281 2.2520 Zn
0.9336 -3.4024 0.4872 Zn
-0.8297 -5.1216 -0.6315 Zn
-5.4272 -4.6494 2.6194 Au
-3.4606 -5.1890 0.3489 Au
-0.5006 -5.1460 2.1575 Au
-5.1357 -9.2469 2.6854 Au
-1.7206 -2.8525 0.5557 Au
-1.4290 -7.4501 0.6216 Au
-3.3957 -6.9104 2.8921 Au
-2.8290 -3.5150 3.3209 Au
```

Output
SG	I4/mmm, No. 139



#ii
Computed, not measured: SmZn4Au8 after structural relaxation at the GGA-PBE level of DFT.

```
SmZn4Au8
1.0
7.4482 0.2529 0.1805
3.8119 6.4038 0.1805
3.8119 2.2535 5.9969
Zn Sm Au
4 1 8
Cartesian
7.5360 4.4551 3.1789 Zn
5.6300 1.2532 3.0887 Zn
3.8119 4.3287 3.0887 Zn
5.6300 3.3284 0.1805 Zn
0.0000 0.0000 0.0000 Sm
8.8687 5.2430 1.1390 Au
11.2541 6.6532 4.7474 Au
8.3591 2.4811 1.7704 Au
6.7128 6.4291 4.5875 Au
6.2032 3.6673 5.2189 Au
3.8179 2.2571 1.6105 Au
6.2032 6.1279 1.7704 Au
8.8687 2.7824 4.5875 Au
```

Output
SG	R-3m, No. 166



We find #i to be the most stable, with the next structure 291 meV/atom higher.



#i
Computed, not measured: SmZn4Au after structural relaxation at the GGA-PBE level of DFT.

```
SmZn4Au
1.0
-1.2472 -3.6565 -1.5560
5.3454 -3.0078 2.7833
-3.6517 0.4337 7.4819
Zn Sm Au
8 2 2
Cartesian
-2.5515 -1.1130 4.6606 Zn
-0.5106 -2.2614 5.7233 Zn
-0.6236 -1.8282 -0.7780 Zn
2.0491 -3.3321 0.6136 Zn
2.9979 -5.1175 4.0485 Zn
0.9570 -3.9691 2.9859 Zn
3.4112 -2.4508 3.0249 Zn
-2.9648 -3.7797 5.6843 Zn
0.1238 -5.1479 6.4237 Sm
0.3225 -1.0826 2.2855 Sm
-1.5513 -3.3187 3.4678 Au
1.9977 -2.9119 5.2414 Au
```

Output
SG	Cmcm, No. 63



#ii
Computed, not measured: SmZn4Au after structural relaxation at the GGA-PBE level of DFT.

```
SmZn4Au
1.0
5.3511 0.0000 0.0000
2.6755 4.6342 0.0000
2.6755 1.5447 4.3692
Zn Au Sm
4 1 1
Cartesian
5.3511 1.5409 2.7321 Zn
5.3511 3.0895 0.5421 Zn
6.6921 3.8637 2.7321 Zn
4.0101 3.8637 2.7321 Zn
0.0000 0.0000 0.0000 Au
2.6755 1.5447 1.0923 Sm
```

Output
SG	F-43m, No. 216



We find #i to be the most stable, with the next structure 101 meV/atom higher.



#i
Computed, not measured: SmZn4Au2 after structural relaxation at the GGA-PBE level of DFT.

```
SmZn4Au2
1.0
4.3923 0.0000 0.0000
0.0000 7.6754 0.0000
0.0000 0.0000 7.6754
Au Zn Sm
4 8 2
Cartesian
2.1962 2.2280 2.2280 Au
0.0000 1.6097 6.0657 Au
2.1962 5.4474 5.4474 Au
0.0000 6.0657 1.6097 Au
0.0000 6.9253 4.9617 Zn
0.0000 2.7137 0.7501 Zn
0.0000 4.9617 6.9253 Zn
2.1962 4.5878 1.1240 Zn
2.1962 1.1240 4.5878 Zn
2.1962 3.0876 6.5513 Zn
2.1962 6.5513 3.0876 Zn
0.0000 0.7501 2.7137 Zn
2.1962 0.0000 0.0000 Sm
0.0000 3.8377 3.8377 Sm
```

Output
SG	P4_2/mnm, No. 136



#ii
Computed, not measured: SmZn4Au2 after structural relaxation at the GGA-PBE level of DFT.

```
SmZn4Au2
1.0
-2.3347 -3.2689 0.3463
2.9139 -2.2607 -1.6946
1.6711 -0.3278 8.1714
Zn Au Sm
4 2 1
Cartesian
0.0260 -2.1907 2.9673 Zn
1.9197 -0.8949 4.4948 Zn
2.2244 -3.6667 3.8558 Zn
2.6654 -1.6937 1.9820 Zn
0.8247 -3.0142 0.5787 Au
1.4257 -2.8432 6.2445 Au
0.0000 0.0000 0.0000 Sm
```

Output
SG	Cmmm, No. 65



We find #i to be the most stable, with the next structure 33 meV/atom higher.